## TePdSN2 (GGA-PBE)

Data for a geometry-optimized TePdSN2 structure.

The space group is P4/mmm (No. 123) and the conventional cell measures 3.603, 3.603 and 7.274 Å, with angles of 90.00, 90.00 and 90.00 degrees. The inequivalent atoms are Te at (0.000, 0.000, 0.000), Pd at (0.500, 0.500, 0.000), S at (0.000, 0.000, 0.500) and N at (0.000, 0.500, 0.500).

As for the density: 5.17 g cm⁻³. The total energy comes out at -4.38 eV per atom. The energy relative to the lowest polymorph listed for this composition comes out at 68 meV per atom.

=====

## AsPC2 (GGA-PBE)

Data for a geometry-optimized AsPC2 structure.

The space group is I-42d (No. 122) and the conventional cell measures 4.940, 4.940 and 7.821 Å, with angles of 90.00, 90.00 and 90.00 degrees. The inequivalent atoms are As at (0.000, 0.000, 0.000), P at (0.000, 0.000, 0.500) and C at (0.170, 0.250, 0.625).

The formation energy from the elements comes out at 976 meV/atom. As for the density: 4.52 g cm⁻³. The total energy comes out at -6.15 eV per atom. The energy relative to the lowest polymorph listed for this composition comes out at 433 meV per atom.

=====

## NaIrRu3 (GGA-PBE)

Data for a geometry-optimized NaIrRu3 structure.

The space group is Pm-3m (No. 221) and the conventional cell measures 4.326, 4.326 and 4.326 Å, with angles of 90.00, 90.00 and 90.00 degrees. The inequivalent atoms are Na at (0.000, 0.000, 0.000), Ir at (0.500, 0.500, 0.500) and Ru at (0.000, 0.000, 0.500).

The formation energy from the elements comes out at 2426 meV/atom. As for the density: 10.63 g cm⁻³. The total energy comes out at -5.18 eV per atom. The energy relative to the lowest polymorph listed for this composition comes out at 919 meV per atom.

=====

## Cs2ZnAsPt (GGA-PBE)

Data for a geometry-optimized Cs2ZnAsPt structure.

The space group is P4/mmm (No. 123) and the conventional cell measures 6.708, 6.708 and 4.834 Å, with angles of 90.00, 90.00 and 90.00 degrees. The inequivalent atoms are Cs at (0.000, 0.500, 0.000), Zn at (0.000, 0.000, 0.500), As at (0.500, 0.500, 0.500) and Pt at (0.000, 0.000, 0.000).

The formation energy from the elements comes out at 169 meV/atom. As for the density: 4.59 g cm⁻³. The total energy comes out at -2.57 eV per atom.

=====

## ScHWS2 (GGA-PBE)

Data for a geometry-optimized ScHWS2 structure.

The space group is P4/mmm (No. 123) and the conventional cell measures 4.458, 4.458 and 3.325 Å, with angles of 90.00, 90.00 and 90.00 degrees. The inequivalent atoms are Sc at (0.000, 0.000, 0.000), H at (0.500, 0.500, 0.500), W at (0.500, 0.500, 0.000) and S at (0.000, 0.500, 0.500).

As for the density: 7.39 g cm⁻³. The total energy comes out at -6.36 eV per atom.

=====

## PmGe2Pt (GGA-PBE)

Data for a geometry-optimized PmGe2Pt structure.

The space group is R-3m (No. 166, hexagonal axes) and the conventional cell measures 4.2337, 4.2337 and 15.6625 Å, with angles of 90.00, 90.00 and 120.00 degrees. The inequivalent atoms are Pm at (0.0000, 0.0000, 0.0000), Ge at (0.0000, 0.0000, 0.2221) and Pt at (0.0000, 0.0000, 0.5000).

The formation energy from the elements comes out at -830 meV/atom. As for the density: 9.95 g cm⁻³. The total energy comes out at -5.84 eV per atom. The energy relative to the lowest polymorph listed for this composition comes out at 77 meV per atom.

=====

## DyEr7Mg2 (GGA-PBE)

Data for a geometry-optimized DyEr7Mg2 structure.

The space group is Cmmm (No. 65) and the conventional cell measures 8.742, 16.294 and 5.175 Å, with angles of 90.00, 90.00 and 90.00 degrees. The inequivalent atoms are Dy at (0.000, 0.000, 0.000), Er at (0.000, 0.208, 0.000), Er at (0.000, 0.500, 0.500), Er at (0.182, 0.112, 0.500) and Mg at (0.000, 0.300, 0.500).

The formation energy from the elements comes out at 591 meV/atom. As for the density: 6.23 g cm⁻³. The total energy comes out at -3.38 eV per atom.

=====

## RbTl3Sn (GGA-PBE)

Data for a geometry-optimized RbTl3Sn structure.

The space group is C2/c (No. 15) and the conventional cell measures 16.502, 11.498 and 7.731 Å, with angles of 90.00, 103.57 and 90.00 degrees. The inequivalent atoms are Rb at (0.000, 0.030, 0.250), Rb at (0.000, 0.356, 0.750), Tl at (0.182, 0.163, 0.059), Tl at (0.182, 0.170, 0.609), Tl at (0.194, 0.483, 0.605) and Sn at (0.094, 0.333, 0.280).

The formation energy from the elements comes out at -60 meV/atom. As for the density: 7.61 g cm⁻³. The total energy comes out at -2.47 eV per atom. The energy relative to the lowest polymorph listed for this composition comes out at 29 meV per atom.